(1)
Here is an optimized crystal structure of LiAgBr3 from Alexandria. Energies are from PBE-GGA.

```
LiAgBr3
1.0
6.7178 0.0000 0.0000
-3.3589 5.8178 0.0000
0.0000 0.0000 7.5523
Li Ag Br
2 2 6
direct
0.3333 0.6667 0.5000
0.6667 0.3333 0.5000
0.0000 0.0000 0.7107
0.0000 0.0000 0.2893
0.0000 0.6226 0.7308
0.6226 0.0000 0.7308
0.0000 0.3774 0.2692
0.6226 0.6226 0.2692
0.3774 0.3774 0.7308
0.3774 0.0000 0.2692
```

Output
energy relative to the lowest polymorph listed for this composition = 88 meV per atom
DOS at the Fermi energy = 8.2 states/eV/cell
spin magnetization = 0.0 Bohr magnetons per cell
final energy = -25.75 eV for the cell shown

(2)
Here is an optimized crystal structure of ScTcPCl2 from Alexandria. Energies are from PBE-GGA.

```
ScTcPCl2
1.0
-4.2193 -1.1291 2.0308
1.3022 -4.6357 0.1282
1.8405 0.6325 4.1756
Sc P Tc Cl
1 1 1 2
direct
0.5000 0.5000 0.5000
0.0000 0.0000 0.5000
0.0000 0.0000 0.0000
0.0000 0.5000 0.0000
0.5000 0.0000 0.0000
```

Output
energy relative to the lowest polymorph listed for this composition = 26 meV per atom
DOS at the Fermi energy = 4.6 states/eV/cell
spin magnetization = 0.7 Bohr magnetons per cell
final energy = -25.87 eV for the cell shown

(3)
Here is an optimized crystal structure of K6RbHgAu from Alexandria. Energies are from PBE-GGA.

```
K6RbHgAu
1.0
-2.8117 2.5209 7.1328
-7.6476 -1.4908 2.1054
3.2298 -9.8946 4.7597
K Rb Hg Au
6 1 1 1
direct
0.0183 0.3224 0.3203
0.3223 0.0183 0.6797
0.6590 0.3228 0.6788
0.0178 0.6599 0.6795
0.3227 0.6590 0.3212
0.6598 0.0178 0.3205
0.0000 0.0000 0.0000
0.6671 0.6671 0.5000
0.3328 0.3328 0.5000
```

Output
formation energy from the elements = -3 kJ per mole of atoms
DOS at the Fermi energy = 7.2 states/eV/cell
spin magnetization = 0.0 Bohr magnetons per cell
final energy = -11.41 eV for the cell shown